Version 1
YTlBr: relaxed, PBE-GGA.

abc: 7.2812 7.2812 7.2812
angles: 90.00 90.00 90.00
Last column: nearest neighbours and their distance in Å.
Space group F-43m (No. 216)
One atom of each set of equivalent atoms:
Y 0.0000 0.0000 0.0000 (multiplicity 4)  4 Br 3.15, 4 Tl 3.15
Tl 0.2500 0.2500 0.7500 (multiplicity 4)  4 Y 3.15
Br 0.2500 0.2500 0.2500 (multiplicity 4)  4 Y 3.15

Summary:
Total magnetization ... 0.00 μB/cell
D(E_F) ... 20.27 states/eV/cell

***

Version 2
YTlBr: relaxed, PBE-GGA.

abc: 3.5612 3.5612 15.5804
angles: 90.00 90.00 90.00
Last column: nearest neighbours and their distance in Å.
Space group I4mm (No. 107)
One atom of each set of equivalent atoms:
Y 0.0000 0.0000 0.0000 (multiplicity 2)  4 Br 3.04, 4 Tl 3.29
Tl 0.0000 0.0000 0.3638 (multiplicity 2)  4 Y 3.29, 4 Tl 3.56
Br 0.0000 0.0000 0.6099 (multiplicity 2)  4 Y 3.04

Summary:
Total magnetization ... 0.00 μB/cell
D(E_F) ... 5.54 states/eV/cell

***

Version 3
YTlBr: relaxed, PBE-GGA.

abc: 3.9826 10.7450 11.8449
angles: 90.00 99.17 90.00
Last column: nearest neighbours and their distance in Å.
Space group C2/m (No. 12)
One atom of each set of equivalent atoms:
Y 0.0817 0.0000 0.1726 (multiplicity 4)  2 Br 2.82
Tl 0.0000 0.3525 0.0000 (multiplicity 4)  3 Tl 2.97-3.17, 4 Y 3.25
Br 0.1626 0.5000 0.3434 (multiplicity 4)  2 Y 2.82

Summary:
Total magnetization ... 0.00 μB/cell
D(E_F) ... 7.75 states/eV/cell

***

Version 4
YTlBr: relaxed, PBE-GGA.

abc: 7.1504 7.1504 7.1504
angles: 90.00 90.00 90.00
Last column: nearest neighbours and their distance in Å.
Space group F-43m (No. 216)
One atom of each set of equivalent atoms:
Y 0.0000 0.0000 0.0000 (multiplicity 4)  4 Br 3.10
Tl 0.0000 0.0000 0.5000 (multiplicity 4)  4 Br 3.10
Br 0.2500 0.2500 0.7500 (multiplicity 4)  4 Tl 3.10, 4 Y 3.10

Summary:
Total magnetization ... 0.00 μB/cell
D(E_F) ... 11.03 states/eV/cell

***

Relative to the most stable one, in meV per atom, the structures come out at version 1 501; version 2 66; version 3 0; version 4 529.

***

Version 1
YTlBr: relaxed, PBE-GGA.

abc: 3.8269 6.3105 16.4583
angles: 90.00 90.00 90.00
Last column: nearest neighbours and their distance in Å.
Space group Fmm2 (No. 42)
One atom of each set of equivalent atoms:
Y 0.0000 0.0000 0.0000 (multiplicity 4)  2 Br 2.84
Tl 0.0000 0.0000 0.3447 (multiplicity 4)  2 Y 3.19
Br 0.0000 0.0000 0.6272 (multiplicity 4)  2 Y 2.84

Summary:
Total magnetization ... 0.00 μB/cell
D(E_F) ... 8.71 states/eV/cell

***

Version 2
YTlBr: relaxed, PBE-GGA.

abc: 3.7193 3.7193 8.0501
angles: 90.00 90.00 120.00
Last column: nearest neighbours and their distance in Å.
Space group P3m1 (No. 156)
One atom of each set of equivalent atoms:
Y 0.0000 0.0000 0.0000 (multiplicity 1)  3 Br 2.91
Tl 0.3333 0.6667 0.6909 (multiplicity 1)  3 Y 3.29
Br 0.6667 0.3333 0.2438 (multiplicity 1)  3 Y 2.91

Summary:
Total magnetization ... 0.00 μB/cell
D(E_F) ... 2.06 states/eV/cell

***

Relative to the most stable one, in meV per atom, the structures come out at version 1 127; version 2 0.